# CoTcP2

CoTcP2 after structural relaxation (PBE, Alexandria via LeMat-Bulk).

```
CoTcP2
1.0
3.125 0.000 0.000
-1.562 2.706 0.000
0.000 0.000 18.587
Co Tc P
3 3 6
Cartesian
0.000 0.000 0.000
0.000 1.804 12.391
1.562 0.902 6.196
0.000 0.000 15.785
0.000 1.804 9.589
1.562 0.902 3.394
0.000 0.000 7.900
0.000 0.000 11.172
0.000 1.804 1.704
0.000 1.804 4.977
1.562 0.902 14.096
1.562 0.902 17.368
```

## Properties
**Density**: 6.94 g cm⁻³
**Offset from the most stable computed form**: 0.027 eV/atom
**ΔE_f**: -0.371 eV/atom

=====

# CoTc2P

CoTc2P after structural relaxation (PBE, Alexandria via LeMat-Bulk).

```
CoTc2P
1.0
2.948 0.000 0.000
0.000 4.668 0.000
0.000 0.000 7.922
Co Tc P
2 4 2
Cartesian
0.000 0.000 0.000
1.474 2.334 0.000
0.000 2.334 2.133
0.000 2.334 5.788
1.474 0.000 2.133
1.474 0.000 5.788
0.000 0.000 3.961
1.474 2.334 3.961
```

## Properties
**Density**: 8.71 g cm⁻³
**ΔE_f**: 0.269 eV/atom

=====

# CoTc2P

CoTc2P after structural relaxation (PBE, Alexandria via LeMat-Bulk).

```
CoTc2P
1.0
2.872 0.000 0.000
0.000 3.510 0.000
0.000 0.000 5.159
Co Tc P
1 2 1
Cartesian
0.000 0.000 0.000
0.000 0.000 2.465
1.436 1.755 4.192
1.436 1.755 1.412
```

## Properties
**Density**: 9.13 g cm⁻³
**ΔE_f**: -0.027 eV/atom